# 1
Tb4Dy5Ho | GGA-PBE | optimized geometry

Cell and atoms, written as CIF:
```
data_Tb4Dy5Ho
_chemical_formula_sum 'Tb8 Dy10 Ho2'
_cell_length_a 25.352
_cell_length_b 3.532
_cell_length_c 7.072
_cell_angle_alpha 90.00
_cell_angle_beta 98.03
_cell_angle_gamma 90.00
_symmetry_space_group_name_H-M 'C 1 2/m 1'
_symmetry_Int_Tables_number 12
loop_
_symmetry_equiv_pos_as_xyz
'x,y,z'
'-x,-y,-z'
'-x,y,-z'
'x,-y,z'
'x+1/2,y+1/2,z'
'-x+1/2,-y+1/2,-z'
'-x+1/2,y+1/2,-z'
'x+1/2,-y+1/2,z'
loop_
_atom_site_label
_atom_site_fract_x
_atom_site_fract_y
_atom_site_fract_z
Tb1 0.100 0.000 0.300
Tb2 0.200 0.500 0.100
Dy1 0.000 0.500 0.500
Dy2 0.100 0.000 0.800
Dy3 0.200 0.500 0.600
Ho1 0.000 0.500 0.000
```

Values from the calculation:
Its energy above the most stable polymorph in this dataset is 0.0 meV/atom. The calculation puts the uncorrected energy at -45.961 eV per formula unit. The formation energy is 0.0149 eV/atom.

# 2
Rb2YThTe4 | GGA-PBE | optimized geometry

Cell and atoms, written as CIF:
```
data_Rb2YThTe4
_chemical_formula_sum 'Rb2 Y1 Th1 Te4'
_cell_length_a 7.839
_cell_length_b 4.511
_cell_length_c 9.048
_cell_angle_alpha 90.00
_cell_angle_beta 106.63
_cell_angle_gamma 90.00
_symmetry_space_group_name_H-M 'P 1 2/m 1'
_symmetry_Int_Tables_number 10
loop_
_symmetry_equiv_pos_as_xyz
'x,y,z'
'-x,-y,-z'
'-x,y,-z'
'x,-y,z'
loop_
_atom_site_label
_atom_site_fract_x
_atom_site_fract_y
_atom_site_fract_z
Rb1 0.000 0.000 0.000
Rb2 0.500 0.500 0.000
Y1 0.000 0.500 0.500
Th1 0.500 0.000 0.500
Te1 0.231 0.000 0.703
Te2 0.260 0.500 0.293
```

Values from the calculation:
The calculation puts the uncorrected energy at -38.578 eV per formula unit. As for the uncorrected formation energy: -1274 meV per atom.

# 3
NaTl8In6 | GGA-PBE | optimized geometry

Cell and atoms, written as CIF:
```
data_NaTl8In6
_chemical_formula_sum 'Na3 Tl24 In18'
_cell_length_a 9.2538
_cell_length_b 9.2538
_cell_length_c 19.4375
_cell_angle_alpha 90.00
_cell_angle_beta 90.00
_cell_angle_gamma 120.00
_symmetry_space_group_name_H-M 'R -3'
_symmetry_Int_Tables_number 148
_symmetry_space_group_name_Hall '-R 3'
loop_
_atom_site_label
_atom_site_fract_x
_atom_site_fract_y
_atom_site_fract_z
Na1 0.0000 0.0000 0.0000
Tl1 0.0000 0.0000 0.3338
Tl2 0.0091 0.3156 0.1181
In1 0.0046 0.3473 0.9483
```

Values from the calculation:
Its energy above the most stable polymorph in this dataset is 52.0 meV/atom. The calculation puts the uncorrected energy at -35.689 eV per formula unit. The formation energy is 0.0661 eV/atom.

# 4
Tm2ScTe2 | GGA-PBE | optimized geometry

Cell and atoms, written as CIF:
```
data_Tm2ScTe2
_chemical_formula_sum 'Tm4 Sc2 Te4'
_cell_length_a 5.424
_cell_length_b 5.425
_cell_length_c 8.986
_cell_angle_alpha 90.00
_cell_angle_beta 107.52
_cell_angle_gamma 90.00
_symmetry_space_group_name_H-M 'P 1 21/m 1'
_symmetry_Int_Tables_number 11
loop_
_symmetry_equiv_pos_as_xyz
'x,y,z'
'-x,-y,-z'
'-x,y+1/2,-z'
'x,-y+1/2,z'
loop_
_atom_site_label
_atom_site_fract_x
_atom_site_fract_y
_atom_site_fract_z
Tm1 0.053 0.250 0.106
Tm2 0.253 0.250 0.505
Sc1 0.449 0.250 0.898
Te1 0.141 0.750 0.282
Te2 0.361 0.750 0.721
```

Values from the calculation:
Its energy above the most stable polymorph in this dataset is 3.5 meV/atom. The calculation puts the uncorrected energy at -25.839 eV per formula unit. As for the uncorrected formation energy: -856 meV per atom.

The highest uncorrected energy belongs to which entry? Tm2ScTe2